DFT (PBE) results for an optimized crystal structure of AgIrPb2.

Unit cell a=4.997 b=4.997 c=4.997 alpha=60.00 beta=60.00 gamma=60.00
Positions (direct):
Ag 0.000 0.000 0.000
Ir 0.750 0.750 0.750
Pb 0.250 0.250 0.250
Pb 0.500 0.500 0.500

## Properties
Its space group is No. 216. The calculation puts the energy of formation at 2.09 eV per formula unit. For the electronic total energy, the calculation gives -4.26 eV per atom. The calculation puts the distance to the lowest polymorph of the same formula at 93 kJ/mol of formula units. For the magnetic moment, the calculation gives 0.0 μB per cell.


DFT (PBE) results for an optimized crystal structure of AgIr2Pb.

Unit cell a=4.859 b=4.859 c=4.859 alpha=127.87 beta=127.87 gamma=76.84
Positions (direct):
Ag 0.000 0.000 0.000
Ir 0.250 0.750 0.500
Ir 0.750 0.250 0.500
Pb 0.500 0.500 0.000

## Properties
Its space group is No. 139. The calculation puts the energy of formation at 2.02 eV per formula unit. For the electronic total energy, the calculation gives -5.57 eV per atom. For the magnetic moment, the calculation gives 0.0 μB per cell.


DFT (PBE) results for an optimized crystal structure of AgIr2Pb2.

Unit cell a=7.310 b=7.310 c=3.766 alpha=90.00 beta=90.00 gamma=90.00
Positions (direct):
Ag 0.000 0.000 0.000
Ag 0.500 0.500 0.000
Ir 0.135 0.365 0.000
Ir 0.365 0.865 0.000
Ir 0.635 0.135 0.000
Ir 0.865 0.635 0.000
Pb 0.165 0.665 0.500
Pb 0.335 0.165 0.500
Pb 0.665 0.835 0.500
Pb 0.835 0.335 0.500

## Properties
Its space group is No. 127. The calculation puts the energy of formation at 1.85 eV per formula unit. For the electronic total energy, the calculation gives -5.23 eV per atom. For the magnetic moment, the calculation gives 0.0 μB per cell.


DFT (PBE) results for an optimized crystal structure of AgIr2Pb.

Unit cell a=10.097 b=10.097 c=10.097 alpha=156.77 beta=156.77 gamma=33.09
Positions (direct):
Ag 0.000 0.000 0.000
Ag 0.750 0.250 0.500
Ir 0.058 0.625 0.933
Ir 0.375 0.308 0.433
Ir 0.692 0.125 0.067
Ir 0.875 0.942 0.567
Pb 0.250 0.750 0.500
Pb 0.500 0.500 0.000

## Properties
Its space group is No. 122. The calculation puts the energy of formation at 2.80 eV per formula unit. For the electronic total energy, the calculation gives -5.37 eV per atom. For the magnetic moment, the calculation gives 0.0 μB per cell.


Repeat the fourth record exactly.
DFT (PBE) results for an optimized crystal structure of AgIr2Pb.

Unit cell a=10.097 b=10.097 c=10.097 alpha=156.77 beta=156.77 gamma=33.09
Positions (direct):
Ag 0.000 0.000 0.000
Ag 0.750 0.250 0.500
Ir 0.058 0.625 0.933
Ir 0.375 0.308 0.433
Ir 0.692 0.125 0.067
Ir 0.875 0.942 0.567
Pb 0.250 0.750 0.500
Pb 0.500 0.500 0.000

## Properties
Its space group is No. 122. The calculation puts the energy of formation at 2.80 eV per formula unit. For the electronic total energy, the calculation gives -5.37 eV per atom. For the magnetic moment, the calculation gives 0.0 μB per cell.


Question: Which of these has the lowest electronic total energy?
Answer: number 2